No. 1
Entry from OQMD via LeMat-Bulk: Hf3Co after structural relaxation (PBE-GGA).

abc: 4.2248 4.2248 4.2248
angles: 90.00 90.00 90.00
Closest atoms and distances in Å follow each position.
Space group Pm-3m (No. 221)
Symmetry-distinct sites (fractional):
Hf 0.0000 0.0000 0.5000 [3 per cell]  8 Hf 2.99, 4 Co 2.99
Co 0.5000 0.5000 0.5000 [1 per cell]  12 Hf 2.99

* energy of formation from the pure elements: 131 meV per atom
* electronic total energy: -9.112 eV/atom
* ρ: 13.1 g/cm³
* crystal system: cubic

No. 2
Entry from OQMD via LeMat-Bulk: GdScNO after structural relaxation (PBE-GGA).

abc: 4.6988 3.8557 6.6753
angles: 90.00 90.00 90.00
Closest atoms and distances in Å follow each position.
Space group Pmma (No. 51)
Symmetry-distinct sites (fractional):
Gd 0.2500 0.0000 0.1678 [2 per cell]  2 N 2.28, 3 O 2.36-2.44
Sc 0.2500 0.5000 0.6610 [2 per cell]  1 N 2.07, 2 O 2.15
N 0.2500 0.5000 0.3510 [2 per cell]  1 Sc 2.07, 2 Gd 2.28
O 0.2500 0.0000 0.8028 [2 per cell]  2 Sc 2.15, 2 Gd 2.36

* electronic total energy: -8.320 eV/atom
* ρ: 6.4 g/cm³
* crystal system: orthorhombic

No. 3
Entry from OQMD via LeMat-Bulk: K2CdSnSe4 after structural relaxation (PBE-GGA).

abc: 8.1529 8.1529 7.0401
angles: 90.00 90.00 90.00
Closest atoms and distances in Å follow each position.
Space group I-42m (No. 121)
Symmetry-distinct sites (fractional):
K 0.0000 0.5000 0.0000 [4 per cell]  8 Se 3.44-3.55, 2 K 3.52
Cd 0.0000 0.0000 0.0000 [2 per cell]  4 Se 2.73
Sn 0.0000 0.0000 0.5000 [2 per cell]  4 Se 2.58
Se 0.1726 0.1726 0.7338 [8 per cell]  1 Sn 2.58, 1 Cd 2.73

* electronic total energy: -3.466 eV/atom
* ρ: 4.4 g/cm³
* crystal system: tetragonal

No. 4
Entry from OQMD via LeMat-Bulk: HoZnO3 after structural relaxation (PBE-GGA).

abc: 5.7464 7.4425 5.2272
angles: 90.00 90.00 90.00
Closest atoms and distances in Å follow each position.
Space group Pnma (No. 62)
Symmetry-distinct sites (fractional):
Ho 0.0864 0.2500 0.0242 [4 per cell]  6 O 2.23-2.45
Zn 0.0000 0.0000 0.5000 [4 per cell]  6 O 1.97-2.13
O 0.0387 0.7500 0.3798 [4 per cell]  2 Zn 1.98
O 0.1828 0.5572 0.8073 [8 per cell]  2 Zn 1.97-2.13

* electronic total energy: -6.336 eV/atom
* ρ: 8.3 g/cm³
* crystal system: orthorhombic

No. 5
Entry from OQMD via LeMat-Bulk: YErGa after structural relaxation (PBE-GGA).

abc: 6.9857 6.9857 6.9857
angles: 90.00 90.00 90.00
Closest atoms and distances in Å follow each position.
Space group F-43m (No. 216)
Symmetry-distinct sites (fractional):
Y 0.0000 0.0000 0.0000 [4 per cell]  4 Ga 3.02
Er 0.0000 0.0000 0.5000 [4 per cell]  4 Ga 3.02
Ga 0.2500 0.2500 0.7500 [4 per cell]  4 Er 3.02, 4 Y 3.02

* electronic total energy: -4.953 eV/atom
* ρ: 6.3 g/cm³
* crystal system: cubic

No. 6
Entry from OQMD via LeMat-Bulk: K2PrNd2Mg3Cd after structural relaxation (PBE-GGA).

abc: 4.9181 14.4875 8.3443
angles: 90.00 90.00 90.00
Closest atoms and distances in Å follow each position.
Space group Amm2 (No. 38)
Symmetry-distinct sites (fractional):
K 0.0000 0.1668 0.0000 [4 per cell]  3 Mg 3.39-3.40, 4 Nd 3.59-3.60, 2 Pr 3.60
Pr 0.5000 0.0000 0.1238 [2 per cell]  1 Cd 3.16
Nd 0.5000 0.1885 0.6880 [4 per cell]  1 Cd 3.14
Mg 0.0000 0.0000 0.7157 [2 per cell]  2 Cd 3.04, 2 Mg 3.10, 2 K 3.39
Mg 0.0000 0.1073 0.3940 [4 per cell]  2 Cd 3.05, 2 Mg 3.10-3.11, 2 K 3.39-3.40
Cd 0.5000 0.0000 0.5024 [2 per cell]  6 Mg 3.04-3.05, 2 Nd 3.14, 1 Pr 3.16

* electronic total energy: -2.122 eV/atom
* ρ: 3.9 g/cm³
* crystal system: orthorhombic

No. 7
Entry from OQMD via LeMat-Bulk: HoAlGe after structural relaxation (PBE-GGA).

abc: 7.1281 7.1281 4.1366
angles: 90.00 90.00 120.00
Closest atoms and distances in Å follow each position.
Space group P-62m (No. 189)
Symmetry-distinct sites (fractional):
Ho 0.0000 0.3907 0.0000 [3 per cell]  5 Ge 2.79-3.02
Al 0.0000 0.7441 0.5000 [3 per cell]  4 Ge 2.69-2.76
Ge 0.0000 0.0000 0.0000 [1 per cell]  6 Al 2.76, 3 Ho 2.79
Ge 0.3333 0.6667 0.5000 [2 per cell]  3 Al 2.69

* electronic total energy: -4.880 eV/atom
* ρ: 7.2 g/cm³
* crystal system: hexagonal

No. 8
Entry from OQMD via LeMat-Bulk: ZnAsPdAu after structural relaxation (PBE-GGA).

abc: 6.4595 6.4595 6.4595
angles: 90.00 90.00 90.00
Closest atoms and distances in Å follow each position.
Space group F-43m (No. 216)
Symmetry-distinct sites (fractional):
Zn 0.0000 0.0000 0.0000 [4 per cell]  4 Au 2.80, 4 As 2.80
As 0.2500 0.2500 0.7500 [4 per cell]  4 Pd 2.80, 4 Zn 2.80
Pd 0.0000 0.0000 0.5000 [4 per cell]  4 As 2.80, 4 Au 2.80
Au 0.2500 0.2500 0.2500 [4 per cell]  4 Pd 2.80, 4 Zn 2.80

* electronic total energy: -3.608 eV/atom
* ρ: 10.9 g/cm³
* crystal system: cubic

No. 9
Entry from OQMD via LeMat-Bulk: KThSb after structural relaxation (PBE-GGA).

abc: 7.4440 7.4440 7.4440
angles: 90.00 90.00 90.00
Closest atoms and distances in Å follow each position.
Space group F-43m (No. 216)
Symmetry-distinct sites (fractional):
K 0.0000 0.0000 0.0000 [4 per cell]  4 Th 3.22, 4 Sb 3.22
Th 0.2500 0.2500 0.2500 [4 per cell]  4 K 3.22
Sb 0.2500 0.2500 0.7500 [4 per cell]  4 K 3.22

* electronic total energy: -3.410 eV/atom
* ρ: 6.3 g/cm³
* crystal system: cubic

No. 10
Entry from OQMD via LeMat-Bulk: PrNd2Cu2Hg3Pd after structural relaxation (PBE-GGA).

abc: 3.9468 13.4946 7.8012
angles: 90.00 90.00 90.00
Closest atoms and distances in Å follow each position.
Space group Amm2 (No. 38)
Symmetry-distinct sites (fractional):
Pr 0.0000 0.0000 0.0000 [2 per cell]  4 Cu 3.10, 1 Pd 3.11, 6 Hg 3.26-3.39
Nd 0.0000 0.1991 0.4022 [4 per cell]  4 Cu 3.09, 1 Pd 3.10, 6 Hg 3.25-3.38
Cu 0.5000 0.1674 0.1018 [4 per cell]  3 Hg 2.86-2.89, 4 Nd 3.09, 2 Pr 3.10
Hg 0.5000 0.0000 0.3324 [2 per cell]  2 Pd 2.88, 2 Cu 2.89
Hg 0.5000 0.1352 0.7358 [4 per cell]  2 Cu 2.86-2.89, 2 Pd 2.89
Pd 0.0000 0.0000 0.6008 [2 per cell]  6 Hg 2.88-2.89, 2 Nd 3.10, 1 Pr 3.11

* energy of formation from the pure elements: -422 meV per atom
* electronic total energy: -3.511 eV/atom
* ρ: 10.1 g/cm³
* crystal system: orthorhombic

No. 11
Entry from OQMD via LeMat-Bulk: ZnMoPt after structural relaxation (PBE-GGA).

abc: 5.9537 5.9537 5.9537
angles: 90.00 90.00 90.00
Closest atoms and distances in Å follow each position.
Space group F-43m (No. 216)
Symmetry-distinct sites (fractional):
Zn 0.0000 0.0000 0.0000 [4 per cell]  4 Pt 2.58
Mo 0.0000 0.0000 0.5000 [4 per cell]  4 Pt 2.58
Pt 0.2500 0.2500 0.7500 [4 per cell]  4 Mo 2.58, 4 Zn 2.58

* energy of formation from the pure elements: 1 meV per atom
* electronic total energy: -6.056 eV/atom
* ρ: 11.2 g/cm³
* crystal system: cubic

No. 12
Entry from OQMD via LeMat-Bulk: AgGeSO after structural relaxation (PBE-GGA).

abc: 3.9690 3.9690 8.7224
angles: 90.00 90.00 90.00
Closest atoms and distances in Å follow each position.
Space group P4/nmm (No. 129, origin choice 2)
Symmetry-distinct sites (fractional):
Ag 0.2500 0.2500 0.1507 [2 per cell]  5 S 2.75-2.81
Ge 0.2500 0.2500 0.5759 [2 per cell]  4 O 2.09, 1 S 2.26
S 0.2500 0.2500 0.8350 [2 per cell]  1 Ge 2.26
O 0.2500 0.7500 0.5000 [2 per cell]  4 Ge 2.09

* electronic total energy: -4.527 eV/atom
* ρ: 5.5 g/cm³
* crystal system: tetragonal